DFT (PBE) results for crystalline LiAsPbAu at its relaxed geometry.

Properties
calculated density: 9.65 g/cm3
DFT formation energy: -0.6 eV/f.u.
total energy: -3.53 eV/atom
total moment: 0.0 μB/cell

a b c (Å): 6.942 6.942 6.942
angles (deg): 90.00 90.00 90.00
Space group F-43m (No. 216)
Unique sites:
Li 0.000 0.000 0.000
As 0.250 0.250 0.750
Pb 0.250 0.250 0.250
Au 0.000 0.000 0.500

DFT (PBE) results for crystalline Ga2PdPb at its relaxed geometry.

Properties
calculated density: 9.26 g/cm3
DFT formation energy: -0.7 eV/f.u.
total energy: -3.93 eV/atom
total moment: 0.0 μB/cell

a b c (Å): 3.234 3.234 7.771
angles (deg): 90.00 90.00 90.00
Space group P4/mmm (No. 123)
Unique sites:
Ga 0.000 0.000 0.187
Pd 0.500 0.500 0.000
Pb 0.500 0.500 0.500

DFT (PBE) results for crystalline PmMg11Zn at its relaxed geometry.

Properties
calculated density: 2.65 g/cm3
DFT formation energy: -0.8 eV/f.u.
total energy: -1.88 eV/atom
total moment: 0.0 μB/cell

a b c (Å): 5.880 14.309 7.659
angles (deg): 90.00 111.55 90.00
Space group C2/m (No. 12)
Unique sites:
Pm 0.000 0.000 0.000
Mg 0.000 0.000 0.500
Mg 0.101 0.395 0.218
Mg 0.180 0.172 0.355
Mg 0.250 0.250 0.000
Zn 0.000 0.500 0.500

DFT (PBE) results for crystalline NaSr2SbSe4 at its relaxed geometry.

Properties
calculated density: 4.62 g/cm3
energy relative to the elements, uncorrected: -1.289 eV per atom
total energy: -4.13 eV/atom
total moment: 0.0 μB/cell

a b c (Å): 8.603 8.757 12.145
angles (deg): 90.00 90.00 90.00
Space group Imma (No. 74)
Unique sites:
Na 0.000 0.000 0.000
Sr 0.000 0.000 0.500
Sr 0.250 0.250 0.250
Sb 0.250 0.250 0.750
Se 0.000 0.016 0.754
Se 0.247 0.250 0.991

Which of these has the lowest total energy?
NaSr2SbSe4